A relaxed structure of Er4InAg2Hg. Source: Alexandria via LeMat-Bulk, functional PBE-GGA.

Cell lengths 5.1808, 5.1808, 8.9697 Å; angles 73.21, 73.21, 60.00 degrees
Element x y z (fractional)
Er: 0.3770 0.3770 0.8689
Er: 0.8731 0.8731 0.3808
Er: 0.1269 0.1269 0.6192
Er: 0.6230 0.6230 0.1311
In: 0.0000 0.0000 0.0000
Ag: 0.7474 0.7474 0.7577
Ag: 0.2526 0.2526 0.2423
Hg: 0.5000 0.5000 0.5000

Calculated values
- E_form: -0.41 eV per atom
- E: -30.2 eV per cell


A relaxed structure of BeRe8. Source: Alexandria via LeMat-Bulk, functional PBE-GGA.

Cell lengths 6.1126, 6.1126, 6.1126 Å; angles 95.92, 95.92, 142.54 degrees
Element x y z (fractional)
Be: 0.0000 0.0000 0.0000
Re: 0.6658 0.3342 0.0000
Re: 0.3342 0.6658 0.0000
Re: 0.0000 0.6662 0.6662
Re: 0.3342 0.3342 0.6684
Re: 0.6662 0.0000 0.6662
Re: 0.6658 0.6658 0.3316
Re: 0.0000 0.3338 0.3338
Re: 0.3338 0.0000 0.3338

Calculated values
- E_form: 0.13 eV per atom
- E: -102.2 eV per cell


A relaxed structure of Ti2V4Re. Source: Alexandria via LeMat-Bulk, functional PBE-GGA.

Cell lengths 4.5562, 4.5562, 7.3217 Å; angles 71.87, 71.87, 90.00 degrees
Element x y z (fractional)
Re: 0.0000 0.0000 0.0000
Ti: 0.3885 0.3885 0.2230
Ti: 0.6115 0.6115 0.7770
V: 0.1829 0.1829 0.6343
V: 0.8171 0.8171 0.3657
V: 0.0000 0.5000 0.0000
V: 0.5000 0.0000 0.0000

Calculated values
- Energy above the lowest structure with this stoichiometry: 1033 meV per atom
- E_form: 1.05 eV per atom
- E: -57.4 eV per cell


A relaxed structure of La12Pr6Sm. Source: Alexandria via LeMat-Bulk, functional PBE-GGA.

Cell lengths 9.9761, 9.9761, 9.9761 Å; angles 110.81, 110.81, 110.81 degrees
Element x y z (fractional)
La: 0.8939 0.1061 0.5000
La: 0.2588 0.9989 0.2588
La: 0.2588 0.2588 0.9989
La: 0.0011 0.7412 0.7412
La: 0.7412 0.7412 0.0011
La: 0.7412 0.0011 0.7412
La: 0.5000 0.8939 0.1061
La: 0.1061 0.5000 0.8939
La: 0.1061 0.8939 0.5000
La: 0.5000 0.1061 0.8939
La: 0.8939 0.5000 0.1061
La: 0.9989 0.2588 0.2588
Pr: 0.6465 0.2811 0.6465
Pr: 0.6465 0.6465 0.2811
Pr: 0.2811 0.6465 0.6465
Pr: 0.3535 0.3535 0.7189
Pr: 0.3535 0.7189 0.3535
Pr: 0.7189 0.3535 0.3535
Sm: 0.0000 0.0000 0.0000

Calculated values
- E_form: 0.32 eV per atom
- E: -86.5 eV per cell


A relaxed structure of AlCdNi2. Source: Alexandria via LeMat-Bulk, functional PBE-GGA.

Cell lengths 4.2860, 4.2860, 4.2860 Å; angles 60.00, 60.00, 60.00 degrees
Element x y z (fractional)
Ni: 0.0000 0.0000 0.0000
Ni: 0.2500 0.2500 0.2500
Al: 0.5000 0.5000 0.5000
Cd: 0.7500 0.7500 0.7500

Calculated values
- E_form: -0.04 eV per atom
- E: -16.4 eV per cell


A relaxed structure of CsHO3. Source: Alexandria via LeMat-Bulk, functional PBE-GGA.

Cell lengths 4.2471, 4.2471, 4.2471 Å; angles 90.00, 90.00, 90.00 degrees
Element x y z (fractional)
Cs: 0.0000 0.0000 0.0000
H: 0.5000 0.5000 0.5000
O: 0.0000 0.5000 0.0000
O: 0.0000 0.0000 0.5000
O: 0.5000 0.0000 0.0000

Calculated values
- E: -12.0 eV per cell


A relaxed structure of Ta5Ti2Nb. Source: Alexandria via LeMat-Bulk, functional PBE-GGA.

Cell lengths 5.7133, 5.7133, 5.7133 Å; angles 109.36, 109.36, 109.69 degrees
Element x y z (fractional)
Ta: 0.2780 0.2781 0.5003
Ta: 0.2781 0.7776 0.0000
Ta: 0.7778 0.2780 0.0000
Ta: 0.7776 0.7778 0.4997
Ta: 0.2778 0.2776 0.0000
Ti: 0.2778 0.7780 0.5000
Ti: 0.7778 0.2780 0.5000
Nb: 0.7781 0.7779 0.0000

Calculated values
- E_form: 0.04 eV per atom
- E: -84.8 eV per cell


A relaxed structure of DyAlGa. Source: Alexandria via LeMat-Bulk, functional PBE-GGA.

Cell lengths 4.3685, 4.3685, 3.7788 Å; angles 90.00, 90.00, 120.00 degrees
Element x y z (fractional)
Al: 0.3333 0.6667 0.5000
Ga: 0.6667 0.3333 0.5000
Dy: 0.0000 0.0000 0.0000

Calculated values
- E_form: -0.57 eV per atom
- E: -13.1 eV per cell